Entry 1:
PBE CdHgSe, relaxed; crystal system = monoclinic; formation energy (no corrections) = -30.77 kJ per mole of atoms
1.0
-3.844 0.343 2.267
3.611 -1.763 1.971
1.928 11.386 1.548
Cd Hg Se
2 2 2
direct
0.801 0.602 0.903
0.199 0.398 0.097
0.637 0.273 0.410
0.363 0.727 0.590
0.887 0.773 0.158
0.113 0.227 0.842

***

Entry 2:
PBE Cd2HgSe, relaxed; crystal system = tetragonal; formation energy (no corrections) = -0.71 kJ per mole of atoms
1.0
4.902 0.000 0.000
0.000 4.902 0.000
0.000 0.000 3.915
Cd Hg Se
2 1 1
direct
0.000 0.000 0.000
0.500 0.500 0.000
0.500 0.000 0.500
0.000 0.500 0.500

***

no.,uncorrected energy (eV for the cell shown),relative energy among the computed polymorphs (meV per atom)
1,-11.3,0.0
2,-5.6,169.9